PBE La6Ho8Sc, relaxed; magnetic moment = 0.000 μB/f.u.; electronic total energy = -4.7243 eV per atom; symmetry = No. 148; V = 500.4 Å³/f.u.; D(E_F) = 23.51 states/eV/cell; energy relative to the elements = 0.110 eV per atom
1.0
-7.0892 5.6121 0.7362
-7.7353 -1.8679 -4.3556
-7.2142 -2.3551 4.3750
La Ho Sc
6 8 1
Direct
0.2322 0.5384 0.1382
0.4616 0.9088 0.8618
0.0912 0.2322 0.1382
0.5384 0.0912 0.1382
0.9088 0.7678 0.8618
0.7678 0.4616 0.8618
0.7062 0.1138 0.4137
0.1138 0.7663 0.4137
0.5772 0.5772 0.2684
0.2938 0.8862 0.5863
0.4228 0.4228 0.7316
0.8862 0.2337 0.5863
0.7663 0.7062 0.4137
0.2337 0.2938 0.5863
0.0000 0.0000 0.0000